AgWAu after structural relaxation, computed with PBE.

Output
E_form	1.1670	eV per atom
M_tot	0.0	Bohr magnetons per cell
SG	No. 216
E_tot	-15.6	eV/f.u.

a b c (Å): 4.4148 4.4148 4.4148
angles (deg): 60.00 60.00 60.00
Element x y z (fractional)
Ag 0.0000 0.0000 0.0000
W 0.7500 0.7500 0.7500
Au 0.5000 0.5000 0.5000